Record 1
{
  "formula": "Np2BeGe3Ir4",
  "functional": "PBE-GGA",
  "state": "relaxed",
  "lattice_angstrom": [[-3.1362, -0.0935, -2.6708], [2.6721, -0.0439, -3.1362], [0.1068, -10.2874, 0.2349]],
  "species": ["Np", "Np", "Be", "Ge", "Ge", "Ge", "Ir", "Ir", "Ir", "Ir"],
  "frac_coords": [[0.5000, 0.0000, 0.2622], [0.0000, 0.5000, 0.7378], [0.5000, 0.5000, 0.5000], [0.0000, 0.0000, 0.5000], [0.5000, 0.0000, 0.8659], [0.0000, 0.5000, 0.1341], [0.5000, 0.5000, 0.0000], [0.0000, 0.0000, 0.0000], [0.5000, 0.0000, 0.6288], [0.0000, 0.5000, 0.3712]],
  "density_g_cm3": 14.0,
  "delta_e_f_ev_per_fu": -4.1,
  "sg": "P-4m2 (115)",
  "volume_a3_per_fu": 174.7,
  "magnetic_moment_mub_per_cell": 7.53
}


Record 2
{
  "formula": "RbReRh3",
  "functional": "PBE-GGA",
  "state": "relaxed",
  "lattice_angstrom": [[4.6593, 0.0000, 0.0000], [0.0000, 4.6593, 0.0000], [0.0000, 0.0000, 4.6593]],
  "species": ["Re", "Rh", "Rh", "Rh", "Rb"],
  "frac_coords": [[0.5000, 0.5000, 0.5000], [0.0000, 0.5000, 0.0000], [0.0000, 0.0000, 0.5000], [0.5000, 0.0000, 0.0000], [0.0000, 0.0000, 0.0000]],
  "density_g_cm3": 9.5,
  "delta_e_f_ev_per_fu": 15.2,
  "sg": "Pm-3m (221)",
  "e_above_lowest_polymorph_mev_per_atom": 2131.8,
  "volume_a3_per_fu": 101.1,
  "magnetic_moment_mub_per_cell": 0.00
}


Record 3
{
  "formula": "SrCa5N4",
  "functional": "PBE-GGA",
  "state": "relaxed",
  "lattice_angstrom": [[5.9598, 0.0000, 0.0000], [0.0000, 7.6976, 0.0000], [0.0000, 0.0000, 8.7659]],
  "species": ["Sr", "Sr", "Ca", "Ca", "Ca", "Ca", "Ca", "Ca", "Ca", "Ca", "Ca", "Ca", "N", "N", "N", "N", "N", "N", "N", "N"],
  "frac_coords": [[0.2725, 0.0000, 0.5000], [0.7275, 0.5000, 0.0000], [0.7465, 0.2509, 0.3123], [0.7465, 0.2509, 0.6877], [0.7465, 0.7491, 0.3123], [0.7465, 0.7491, 0.6877], [0.2535, 0.2491, 0.1877], [0.2535, 0.2491, 0.8123], [0.2535, 0.7509, 0.1877], [0.2535, 0.7509, 0.8123], [0.2579, 0.5000, 0.5000], [0.7421, 0.0000, 0.0000], [0.0250, 0.7451, 0.5000], [0.0250, 0.2549, 0.5000], [0.9750, 0.7549, 0.0000], [0.9750, 0.2451, 0.0000], [0.4910, 0.5000, 0.2571], [0.4910, 0.5000, 0.7429], [0.5090, 0.0000, 0.2429], [0.5090, 0.0000, 0.7571]],
  "raw_formation_energy_ev_per_atom": -0.6329,
  "density_g_cm3": 2.8,
  "sg": "Pmmn (59)",
  "volume_a3_per_fu": 201.1,
  "magnetic_moment_mub_per_cell": 0.00
}


Record 4
{
  "formula": "Ag5HgAu",
  "functional": "PBE-GGA",
  "state": "relaxed",
  "lattice_angstrom": [[5.6035, 0.0856, -1.0056], [-0.8043, 6.7785, -3.9051], [0.0600, -0.3578, 7.2850]],
  "species": ["Ag", "Ag", "Ag", "Ag", "Ag", "Ag", "Ag", "Ag", "Ag", "Ag", "Hg", "Hg", "Au", "Au"],
  "frac_coords": [[0.5419, 0.7824, 0.8845], [0.3517, 0.9427, 0.2835], [0.0419, 0.6021, 0.8845], [0.7500, 0.6300, 0.5000], [0.1483, 0.1592, 0.7165], [0.8517, 0.8408, 0.2835], [0.2500, 0.3700, 0.5000], [0.9581, 0.3979, 0.1155], [0.6483, 0.0573, 0.7165], [0.4581, 0.2176, 0.1155], [0.7500, 0.2630, 0.5000], [0.2500, 0.7370, 0.5000], [0.0000, 0.0000, 0.0000], [0.5000, 0.5000, 0.0000]],
  "density_g_cm3": 11.5,
  "delta_e_f_ev_per_fu": 0.4,
  "sg": "C2/c (15)",
  "e_above_lowest_polymorph_mev_per_atom": 0.0,
  "volume_a3_per_fu": 134.7,
  "magnetic_moment_mub_per_cell": 0.00
}